No. 1
Below is a geometry-optimized CsRb2HoBr6 structure, with properties calculated at the PBE level.

Lattice parameters (Å, degrees): 8.252 8.805 11.783 90.00 89.13 90.00
Fractional positions:
Cs: 0.500 0.000 0.000
Cs: 0.000 0.500 0.500
Rb: 0.031 0.923 0.256
Rb: 0.531 0.577 0.756
Rb: 0.969 0.077 0.744
Rb: 0.469 0.423 0.244
Ho: 0.500 0.000 0.500
Ho: 0.000 0.500 0.000
Br: 0.272 0.670 0.059
Br: 0.772 0.830 0.559
Br: 0.728 0.330 0.941
Br: 0.228 0.170 0.441
Br: 0.348 0.736 0.417
Br: 0.848 0.764 0.917
Br: 0.652 0.264 0.583
Br: 0.152 0.236 0.083
Br: 0.862 0.562 0.214
Br: 0.362 0.938 0.714
Br: 0.138 0.438 0.786
Br: 0.638 0.062 0.286

Output
The uncorrected formation energy comes out at -178 kJ/mol of atoms. As for the symmetry: P2_1/c (14).

---

No. 2
Below is a geometry-optimized BaYH6Pt2 structure, with properties calculated at the PBE level.

Lattice parameters (Å, degrees): 6.335 6.335 7.269 106.39 106.39 88.08
Fractional positions:
Ba: 0.101 0.899 0.250
Ba: 0.899 0.101 0.750
Y: 0.575 0.425 0.250
Y: 0.425 0.575 0.750
H: 0.888 0.275 0.199
H: 0.725 0.112 0.301
H: 0.112 0.725 0.801
H: 0.275 0.888 0.699
H: 0.183 0.364 0.129
H: 0.636 0.817 0.371
H: 0.817 0.636 0.871
H: 0.364 0.183 0.629
H: 0.332 0.611 0.442
H: 0.389 0.668 0.058
H: 0.668 0.389 0.558
H: 0.611 0.332 0.942
Pt: 0.441 0.101 0.837
Pt: 0.899 0.559 0.663
Pt: 0.559 0.899 0.163
Pt: 0.101 0.441 0.337

Output
The total energy comes out at -45.9 eV/f.u. As for the symmetry: C2/c (15).

---

No. 3
Below is a geometry-optimized Li4PmHg2 structure, with properties calculated at the PBE level.

Lattice parameters (Å, degrees): 4.461 8.106 8.106 90.00 90.00 90.00
Fractional positions:
Li: 0.000 0.095 0.349
Li: 0.000 0.905 0.651
Li: 0.500 0.151 0.595
Li: 0.500 0.849 0.405
Li: 0.500 0.405 0.849
Li: 0.500 0.595 0.151
Li: 0.000 0.349 0.095
Li: 0.000 0.651 0.905
Pm: 0.500 0.000 0.000
Pm: 0.000 0.500 0.500
Hg: 0.000 0.213 0.787
Hg: 0.000 0.787 0.213
Hg: 0.500 0.713 0.713
Hg: 0.500 0.287 0.287

Output
The formation energy is -0.2855 eV/atom. As for the symmetry: P4_2/mnm (136). For the excess energy over the best structure of this formula in the dataset, the calculation gives 0 meV/atom.

---

No. 4
Below is a geometry-optimized LaCdCu2 structure, with properties calculated at the PBE level.

Lattice parameters (Å, degrees): 7.777 4.932 3.421 90.11 63.74 129.42
Fractional positions:
Cd: 0.500 0.500 0.000
Cu: 0.000 0.000 0.000
Cu: 0.500 0.000 0.500
La: 0.000 0.500 0.500

Output
The formation energy is 0.0369 eV/atom. As for the symmetry: C2/m (12).

---

No. 5
Below is a geometry-optimized NaAlTe2N structure, with properties calculated at the PBE level.

Lattice parameters (Å, degrees): 5.958 5.958 3.434 90.00 90.00 90.00
Fractional positions:
Na: 0.500 0.500 0.500
Te: 0.000 0.500 0.000
Te: 0.500 0.000 0.000
Al: 0.000 0.000 0.000
N: 0.000 0.000 0.500

Output
The uncorrected formation energy comes out at -9 kJ/mol of atoms. As for the symmetry: P4/mmm (123). For the excess energy over the best structure of this formula in the dataset, the calculation gives 0 meV/atom.

---

No. 6
Below is a geometry-optimized Tb5Nd4Th structure, with properties calculated at the PBE level.

Lattice parameters (Å, degrees): 3.621 3.621 25.451 90.00 90.00 90.00
Fractional positions:
Tb: 0.500 0.500 0.095
Tb: 0.500 0.500 0.299
Tb: 0.500 0.500 0.500
Tb: 0.500 0.500 0.701
Tb: 0.500 0.500 0.905
Nd: 0.000 0.000 0.198
Nd: 0.000 0.000 0.400
Nd: 0.000 0.000 0.600
Nd: 0.000 0.000 0.802
Th: 0.000 0.000 0.000

Output
The formation energy is 0.0160 eV/atom. As for the symmetry: P4/mmm (123). For the excess energy over the best structure of this formula in the dataset, the calculation gives 0 meV/atom.